1.
Below is a relaxed structure of TaCrRu, with properties calculated at the PBE-GGA level.

## Properties
**Energy above the most stable polymorph in this dataset**: 0.151 eV/atom

a = 9.2870 Å, b = 4.3699 Å, c = 5.3258 Å
α = 90.00°, β = 124.99°, γ = 90.00°
Space group Cm (No. 8)
One atom of each set of equivalent atoms:
Ta (0.0000, 0.0000, 0.0000) x2
Ta (0.1537, 0.5000, 0.8020) x2
Cr (0.3205, 0.0000, 0.1610) x2
Cr (0.4807, 0.5000, 0.4728) x2
Ru (0.1552, 0.5000, 0.3063) x2
Ru (0.3355, 0.0000, 0.6754) x2



2.
Below is a relaxed structure of Ta2CrRu, with properties calculated at the PBE-GGA level.

## Properties
**Energy above the most stable polymorph in this dataset**: 0.252 eV/atom

a = 3.1642 Å, b = 4.2741 Å, c = 4.6186 Å
α = 90.00°, β = 90.00°, γ = 90.00°
Space group Pmmm (No. 47)
One atom of each set of equivalent atoms:
Ta (0.0000, 0.0000, 0.0000) x1
Ta (0.5000, 0.0000, 0.5000) x1
Cr (0.0000, 0.5000, 0.5000) x1
Ru (0.5000, 0.5000, 0.0000) x1



3.
Below is a relaxed structure of TaCrRu2, with properties calculated at the PBE-GGA level.

a = 3.9041 Å, b = 3.9041 Å, c = 16.9057 Å
α = 90.00°, β = 90.00°, γ = 90.00°
Space group I-42d (No. 122)
One atom of each set of equivalent atoms:
Ta (0.0000, 0.0000, 0.0000) x4
Cr (0.0000, 0.0000, 0.5000) x4
Ru (0.2150, 0.2500, 0.6250) x8



4.
Below is a relaxed structure of TaCrRu, with properties calculated at the PBE-GGA level.

## Properties
**Energy above the most stable polymorph in this dataset**: 0.007 eV/atom

a = 4.3758 Å, b = 4.3758 Å, c = 5.4035 Å
α = 90.00°, β = 90.00°, γ = 120.00°
Space group P3m1 (No. 156)
One atom of each set of equivalent atoms:
Ta (0.0000, 0.0000, 0.0000) x1
Ta (0.3333, 0.6667, 0.3599) x1
Cr (0.3333, 0.6667, 0.8458) x1
Cr (0.6667, 0.3333, 0.6998) x1
Ru (0.0000, 0.0000, 0.5068) x1
Ru (0.6667, 0.3333, 0.1839) x1



5.
Below is a relaxed structure of Ta2CrRu, with properties calculated at the PBE-GGA level.

## Properties
**Energy above the most stable polymorph in this dataset**: 0.432 eV/atom

a = 3.0144 Å, b = 3.0144 Å, c = 24.2902 Å
α = 90.00°, β = 90.00°, γ = 120.00°
Space group R-3m (No. 166, hexagonal axes)
One atom of each set of equivalent atoms:
Ta (0.0000, 0.0000, 0.2468) x6
Cr (0.0000, 0.0000, 0.5000) x3
Ru (0.0000, 0.0000, 0.0000) x3



6.
Below is a relaxed structure of Ta2CrRu, with properties calculated at the PBE-GGA level.

## Properties
**Energy above the most stable polymorph in this dataset**: 0.426 eV/atom

a = 8.3215 Å, b = 2.9794 Å, c = 5.2612 Å
α = 90.00°, β = 101.03°, γ = 90.00°
Space group C2/m (No. 12)
One atom of each set of equivalent atoms:
Ta (0.2455, 0.0000, 0.2425) x4
Cr (0.0000, 0.5000, 0.0000) x2
Ru (0.0000, 0.0000, 0.5000) x2



7.
Below is a relaxed structure of Ta2CrRu, with properties calculated at the PBE-GGA level.

## Properties
**Energy above the most stable polymorph in this dataset**: 0.157 eV/atom

a = 3.1378 Å, b = 4.3854 Å, c = 9.0372 Å
α = 90.00°, β = 90.00°, γ = 90.00°
Space group Imm2 (No. 44)
One atom of each set of equivalent atoms:
Ta (0.0000, 0.0000, 0.0000) x2
Ta (0.0000, 0.5000, 0.2397) x2
Cr (0.0000, 0.5000, 0.7388) x2
Ru (0.0000, 0.0000, 0.4907) x2



8.
Below is a relaxed structure of TaCrRu, with properties calculated at the PBE-GGA level.

## Properties
**Energy above the most stable polymorph in this dataset**: 0.000 eV/atom

a = 3.0982 Å, b = 4.3791 Å, c = 13.1405 Å
α = 90.00°, β = 90.00°, γ = 90.00°
Space group Amm2 (No. 38)
One atom of each set of equivalent atoms:
Ta (0.0000, 0.0000, 0.0000) x2
Ta (0.0000, 0.0000, 0.3303) x2
Cr (0.0000, 0.0000, 0.6779) x2
Cr (0.5000, 0.0000, 0.8314) x2
Ru (0.5000, 0.0000, 0.1638) x2
Ru (0.5000, 0.0000, 0.5016) x2



Values of ΔH_f (0 K), in order: 0.00 -0.05 0.62 -0.15 0.13 0.13 -0.14 -0.15, all in eV/atom.